(1)
# Cs2KTiTe4 GGA-PBE relaxed
# formation energy from raw total energies	-0.7734	eV/atom
data_Cs2KTiTe4
_symmetry_space_group_name_H-M 'P 1'
_symmetry_Int_Tables_number 1
_cell_length_a 14.906
_cell_length_b 13.323
_cell_length_c 8.687
_cell_angle_alpha 82.36
_cell_angle_beta 62.36
_cell_angle_gamma 35.28
loop_
_symmetry_equiv_pos_as_xyz
'x,y,z'
loop_
_atom_site_label
_atom_site_type_symbol
_atom_site_fract_x
_atom_site_fract_y
_atom_site_fract_z
_atom_site_occupancy
Cs1 Cs 0.059 0.059 0.691 1
Cs2 Cs 0.309 0.309 0.941 1
Cs3 Cs 0.691 0.691 0.059 1
Cs4 Cs 0.941 0.941 0.309 1
K1 K 0.125 0.125 0.125 1
K2 K 0.875 0.875 0.875 1
Ti1 Ti 0.375 0.375 0.375 1
Ti2 Ti 0.625 0.625 0.625 1
Te1 Te 0.029 0.600 0.518 1
Te2 Te 0.353 0.518 0.600 1
Te3 Te 0.400 0.971 0.647 1
Te4 Te 0.482 0.647 0.971 1
Te5 Te 0.518 0.353 0.029 1
Te6 Te 0.600 0.029 0.353 1
Te7 Te 0.647 0.482 0.400 1
Te8 Te 0.971 0.400 0.482 1

=====

(2)
# CsKTl2Te2 GGA-PBE relaxed
# formation energy from raw total energies	-0.6735	eV/atom
data_CsKTl2Te2
_symmetry_space_group_name_H-M 'P 1'
_symmetry_Int_Tables_number 1
_cell_length_a 5.847
_cell_length_b 5.847
_cell_length_c 8.436
_cell_angle_alpha 90.00
_cell_angle_beta 90.00
_cell_angle_gamma 120.00
loop_
_symmetry_equiv_pos_as_xyz
'x,y,z'
loop_
_atom_site_label
_atom_site_type_symbol
_atom_site_fract_x
_atom_site_fract_y
_atom_site_fract_z
_atom_site_occupancy
Cs1 Cs 0.000 0.000 0.000 1
K1 K 0.000 0.000 0.500 1
Tl1 Tl 0.333 0.667 0.683 1
Tl2 Tl 0.667 0.333 0.317 1
Te1 Te 0.333 0.667 0.289 1
Te2 Te 0.667 0.333 0.711 1

=====

(3)
# Cs2KUTe4 GGA-PBE relaxed
# formation energy from raw total energies	-0.9030	eV/atom
data_Cs2KUTe4
_symmetry_space_group_name_H-M 'P 1'
_symmetry_Int_Tables_number 1
_cell_length_a 8.648
_cell_length_b 4.722
_cell_length_c 9.163
_cell_angle_alpha 90.00
_cell_angle_beta 106.94
_cell_angle_gamma 90.00
loop_
_symmetry_equiv_pos_as_xyz
'x,y,z'
loop_
_atom_site_label
_atom_site_type_symbol
_atom_site_fract_x
_atom_site_fract_y
_atom_site_fract_z
_atom_site_occupancy
Cs1 Cs 0.000 0.000 0.000 1
Cs2 Cs 0.500 0.500 0.000 1
K1 K 0.000 0.500 0.500 1
U1 U 0.500 0.000 0.500 1
Te1 Te 0.284 0.000 0.693 1
Te2 Te 0.306 0.500 0.315 1
Te3 Te 0.694 0.500 0.685 1
Te4 Te 0.716 0.000 0.307 1

=====

(4)
# Cs2KU2Te5 GGA-PBE relaxed
# formation energy from raw total energies	-0.8254	eV/atom
data_Cs2KU2Te5
_symmetry_space_group_name_H-M 'P 1'
_symmetry_Int_Tables_number 1
_cell_length_a 14.045
_cell_length_b 14.045
_cell_length_c 4.049
_cell_angle_alpha 90.00
_cell_angle_beta 90.00
_cell_angle_gamma 90.00
loop_
_symmetry_equiv_pos_as_xyz
'x,y,z'
loop_
_atom_site_label
_atom_site_type_symbol
_atom_site_fract_x
_atom_site_fract_y
_atom_site_fract_z
_atom_site_occupancy
Cs1 Cs 0.180 0.320 0.000 1
Cs2 Cs 0.320 0.820 0.000 1
Cs3 Cs 0.680 0.180 0.000 1
Cs4 Cs 0.820 0.680 0.000 1
K1 K 0.000 0.000 0.000 1
K2 K 0.500 0.500 0.000 1
U1 U 0.120 0.620 0.000 1
U2 U 0.380 0.120 0.000 1
U3 U 0.620 0.880 0.000 1
U4 U 0.880 0.380 0.000 1
Te1 Te 0.000 0.500 0.500 1
Te2 Te 0.071 0.779 0.500 1
Te3 Te 0.221 0.071 0.500 1
Te4 Te 0.279 0.571 0.500 1
Te5 Te 0.429 0.279 0.500 1
Te6 Te 0.500 0.000 0.500 1
Te7 Te 0.571 0.721 0.500 1
Te8 Te 0.721 0.429 0.500 1
Te9 Te 0.779 0.929 0.500 1
Te10 Te 0.929 0.221 0.500 1

=====

(5)
# Cs3K2UTe6 GGA-PBE relaxed
# formation energy from raw total energies	-0.8658	eV/atom
data_Cs3K2UTe6
_symmetry_space_group_name_H-M 'P 1'
_symmetry_Int_Tables_number 1
_cell_length_a 8.710
_cell_length_b 8.710
_cell_length_c 9.035
_cell_angle_alpha 99.32
_cell_angle_beta 99.32
_cell_angle_gamma 119.53
loop_
_symmetry_equiv_pos_as_xyz
'x,y,z'
loop_
_atom_site_label
_atom_site_type_symbol
_atom_site_fract_x
_atom_site_fract_y
_atom_site_fract_z
_atom_site_occupancy
Cs1 Cs 0.000 0.000 0.000 1
Cs2 Cs 0.319 0.681 0.000 1
Cs3 Cs 0.681 0.319 0.000 1
K1 K 0.164 0.836 0.500 1
K2 K 0.836 0.164 0.500 1
U1 U 0.500 0.500 0.500 1
Te1 Te 0.156 0.435 0.305 1
Te2 Te 0.296 0.296 0.702 1
Te3 Te 0.435 0.156 0.305 1
Te4 Te 0.565 0.844 0.695 1
Te5 Te 0.704 0.704 0.298 1
Te6 Te 0.844 0.565 0.695 1

=====

(6)
# CsKUTe3 GGA-PBE relaxed
# formation energy from raw total energies	-0.8550	eV/atom
data_CsKUTe3
_symmetry_space_group_name_H-M 'P 1'
_symmetry_Int_Tables_number 1
_cell_length_a 9.577
_cell_length_b 9.577
_cell_length_c 8.076
_cell_angle_alpha 95.84
_cell_angle_beta 95.84
_cell_angle_gamma 127.45
loop_
_symmetry_equiv_pos_as_xyz
'x,y,z'
loop_
_atom_site_label
_atom_site_type_symbol
_atom_site_fract_x
_atom_site_fract_y
_atom_site_fract_z
_atom_site_occupancy
Cs1 Cs 0.249 0.751 0.750 1
Cs2 Cs 0.751 0.249 0.250 1
K1 K 0.418 0.582 0.250 1
K2 K 0.582 0.418 0.750 1
U1 U 0.052 0.948 0.250 1
U2 U 0.948 0.052 0.750 1
Te1 Te 0.176 0.275 0.507 1
Te2 Te 0.220 0.780 0.250 1
Te3 Te 0.275 0.176 0.007 1
Te4 Te 0.725 0.824 0.993 1
Te5 Te 0.780 0.220 0.750 1
Te6 Te 0.824 0.725 0.493 1

=====

(7)
# CsKZrTe3 GGA-PBE relaxed
# formation energy from raw total energies	-0.8376	eV/atom
data_CsKZrTe3
_symmetry_space_group_name_H-M 'P 1'
_symmetry_Int_Tables_number 1
_cell_length_a 7.665
_cell_length_b 7.665
_cell_length_c 9.887
_cell_angle_alpha 104.54
_cell_angle_beta 104.54
_cell_angle_gamma 75.16
loop_
_symmetry_equiv_pos_as_xyz
'x,y,z'
loop_
_atom_site_label
_atom_site_type_symbol
_atom_site_fract_x
_atom_site_fract_y
_atom_site_fract_z
_atom_site_occupancy
Cs1 Cs 0.163 0.163 0.174 1
Cs2 Cs 0.837 0.837 0.826 1
K1 K 0.261 0.739 0.500 1
K2 K 0.739 0.261 0.500 1
Zr1 Zr 0.415 0.415 0.854 1
Zr2 Zr 0.585 0.585 0.146 1
Te1 Te 0.210 0.623 0.127 1
Te2 Te 0.256 0.256 0.589 1
Te3 Te 0.377 0.790 0.873 1
Te4 Te 0.623 0.210 0.127 1
Te5 Te 0.744 0.744 0.411 1
Te6 Te 0.790 0.377 0.873 1

=====

(8)
# CsK2Th GGA-PBE relaxed
# calculated formation energy	245	kJ/mol of formula units
data_CsK2Th
_symmetry_space_group_name_H-M 'P 1'
_symmetry_Int_Tables_number 1
_cell_length_a 16.503
_cell_length_b 16.503
_cell_length_c 16.503
_cell_angle_alpha 13.29
_cell_angle_beta 13.29
_cell_angle_gamma 13.29
loop_
_symmetry_equiv_pos_as_xyz
'x,y,z'
loop_
_atom_site_label
_atom_site_type_symbol
_atom_site_fract_x
_atom_site_fract_y
_atom_site_fract_z
_atom_site_occupancy
Cs1 Cs 0.000 0.000 0.000 1
K1 K 0.422 0.422 0.422 1
K2 K 0.578 0.578 0.578 1
Th1 Th 0.500 0.500 0.500 1

=====

(9)
# Cs2KTi GGA-PBE relaxed
# calculated formation energy	347	kJ/mol of formula units
data_Cs2KTi
_symmetry_space_group_name_H-M 'P 1'
_symmetry_Int_Tables_number 1
_cell_length_a 7.104
_cell_length_b 7.104
_cell_length_c 7.104
_cell_angle_alpha 60.00
_cell_angle_beta 60.00
_cell_angle_gamma 60.00
loop_
_symmetry_equiv_pos_as_xyz
'x,y,z'
loop_
_atom_site_label
_atom_site_type_symbol
_atom_site_fract_x
_atom_site_fract_y
_atom_site_fract_z
_atom_site_occupancy
Cs1 Cs 0.250 0.250 0.250 1
Cs2 Cs 0.750 0.750 0.750 1
K1 K 0.000 0.000 0.000 1
Ti1 Ti 0.500 0.500 0.500 1

=====

(10)
# CsK2TiZn GGA-PBE relaxed
# calculated formation energy	482	kJ/mol of formula units
data_CsK2TiZn
_symmetry_space_group_name_H-M 'P 1'
_symmetry_Int_Tables_number 1
_cell_length_a 6.905
_cell_length_b 6.905
_cell_length_c 6.358
_cell_angle_alpha 90.00
_cell_angle_beta 90.00
_cell_angle_gamma 90.00
loop_
_symmetry_equiv_pos_as_xyz
'x,y,z'
loop_
_atom_site_label
_atom_site_type_symbol
_atom_site_fract_x
_atom_site_fract_y
_atom_site_fract_z
_atom_site_occupancy
Cs1 Cs 0.000 0.000 0.000 1
K1 K 0.000 0.500 0.500 1
K2 K 0.500 0.000 0.500 1
Ti1 Ti 0.000 0.000 0.500 1
Zn1 Zn 0.500 0.500 0.000 1

=====

Calculated values (μB per cell) of magnetic moment for the records, taken in order: 0.0, 0.0, 1.0, 10.0, 1.0, 4.0, 0.0, 1.3, 3.2, 4.8.